1.
A relaxed structure of Ba2MnW. Source: Alexandria, functional PBE-GGA.

Unit cell a=6.0090 b=6.0090 c=3.3723 alpha=90.00 beta=90.00 gamma=98.97
Atoms (fractional coordinates):
Ba 0.5000 0.5000 0.0000
W 0.0000 0.5000 0.5000
Mn 0.5000 0.0000 0.5000
Ba 0.0000 0.0000 0.0000

Calculated values
Total DFT energy (no corrections), eV/atom: -5.067
SG: Cmmm
Theoretical density, g/cm³: 7.1
Formation enthalpy at 0 K, eV/atom: 1.425
Volume, Å³/f.u.: 120

---

2.
A relaxed structure of Ba2MnW. Source: Alexandria, functional PBE-GGA.

Unit cell a=3.9304 b=5.7179 c=5.7179 alpha=90.00 beta=90.00 gamma=90.00
Atoms (fractional coordinates):
W 0.5000 0.0000 0.5000
Ba 0.0000 0.0000 0.0000
Mn 0.5000 0.5000 0.0000
Ba 0.0000 0.5000 0.5000

Calculated values
Total DFT energy (no corrections), eV/atom: -5.095
SG: P4/mmm
Theoretical density, g/cm³: 6.6
Formation enthalpy at 0 K, eV/atom: 1.397
Volume, Å³/f.u.: 129

---

Q: Which formula does entry 2 have?
A: Ba2MnW